No. 1
Compound: La2BiBr3
Source: the Alexandria database
Functional: GGA-PBE
Structure: optimized geometry

The magnetic moment comes out at 0.00 Bohr magnetons per cell. The value obtained for the uncorrected formation energy is -1588 meV/atom. As for the energy: -113.136 eV for the cell shown.

a b c (Å): 17.1324 4.5981 12.0151
angles (deg): 90.00 110.36 90.00
Space group C2/m (No. 12)
One atom of each set of equivalent atoms:
La 0.0174 0.0000 0.1850
La 0.2394 0.5000 0.8427
Bi 0.1155 0.5000 0.0196
Br 0.0364 0.5000 0.3462
Br 0.1328 0.0000 0.7174
Br 0.1974 0.0000 0.3468

No. 2
Compound: La4BiBr5
Source: the Alexandria database
Functional: GGA-PBE
Structure: optimized geometry

The magnetic moment comes out at 1.67 Bohr magnetons per cell. The value obtained for the uncorrected formation energy is -1529 meV/atom. As for the energy: -94.494 eV for the cell shown.

a b c (Å): 18.7941 4.2380 9.3178
angles (deg): 90.00 99.88 90.00
Space group C2/m (No. 12)
One atom of each set of equivalent atoms:
La 0.0022 0.0000 0.2527
La 0.1740 0.5000 0.0651
Bi 0.0000 0.5000 0.0000
Br 0.0000 0.5000 0.5000
Br 0.1635 0.0000 0.8077
Br 0.1668 0.0000 0.3084

No. 3
Compound: La6Bi5Br
Source: the Alexandria database
Functional: GGA-PBE
Structure: optimized geometry

The magnetic moment comes out at 0.00 Bohr magnetons per cell. The value obtained for the uncorrected formation energy is -1126 meV/atom. As for the energy: -128.319 eV for the cell shown.

a b c (Å): 8.0850 14.0059 8.0752
angles (deg): 90.00 109.46 90.00
Space group C2/m (No. 12)
One atom of each set of equivalent atoms:
La 0.2463 0.0000 0.2535
La 0.2468 0.1691 0.7475
Bi 0.0000 0.0000 0.5000
Bi 0.0000 0.1668 0.0000
Bi 0.0000 0.3342 0.5000
Br 0.0000 0.5000 0.0000

Which value of magnetic moment does entry 2 give?
1.67 Bohr magnetons per cell